Compound: BeZn3Sn
Source: the Alexandria database
Functional: PBE
Structure: optimized geometry

abc: 4.4676 4.4676 4.4676
angles: 90.00 90.00 90.00
Space group Pm-3m (No. 221)
One atom of each set of equivalent atoms:
1 Be 0.0000 0.0000 0.0000 [1 per cell]
2 Zn 0.0000 0.0000 0.5000 [3 per cell]
3 Sn 0.5000 0.5000 0.5000 [1 per cell]

Computed properties:
E_tot: -2.003 eV per atom
total magnetization: 0.0000 μB/atom
distance to the lowest polymorph of the same formula: 0 meV per atom